Entry 1:
Here is an optimized crystal structure of La6NiHg2 from Alexandria. Energies are from PBE.

Structure (CIF):
```
data_La6NiHg2
_chemical_formula_sum 'La6 Ni1 Hg2'
_cell_length_a 3.873
_cell_length_b 9.027
_cell_length_c 9.030
_cell_angle_alpha 119.99
_cell_angle_beta 90.00
_cell_angle_gamma 90.00
_space_group_name_H-M_alt 'P 1'
_space_group_IT_number 1
loop_
_space_group_symop_operation_xyz
'x,y,z'
loop_
_atom_site_label
_atom_site_fract_x
_atom_site_fract_y
_atom_site_fract_z
La1 0.000 0.767 0.767
La2 0.000 0.000 0.233
La3 0.500 0.001 0.593
La4 0.500 0.592 0.000
La5 0.500 0.408 0.407
La6 0.000 0.232 0.000
Ni1 0.500 0.999 0.000
Hg1 0.000 0.667 0.333
Hg2 0.000 0.334 0.667
```

Summary:
E_tot (eV/atom): -4.321
Energy of formation from the pure elements (eV/atom): -0.33
V (Å³/atom): 30.38


Entry 2:
Here is an optimized crystal structure of SiSeO3 from Alexandria. Energies are from PBE.

Structure (CIF):
```
data_SiSeO3
_chemical_formula_sum 'Si1 Se1 O3'
_cell_length_a 3.592
_cell_length_b 3.592
_cell_length_c 3.592
_cell_angle_alpha 90.00
_cell_angle_beta 90.00
_cell_angle_gamma 90.00
_space_group_name_H-M_alt 'P 1'
_space_group_IT_number 1
loop_
_space_group_symop_operation_xyz
'x,y,z'
loop_
_atom_site_label
_atom_site_fract_x
_atom_site_fract_y
_atom_site_fract_z
Se1 0.500 0.500 0.500
O1 0.000 0.500 0.000
O2 0.000 0.000 0.500
O3 0.500 0.000 0.000
Si1 0.000 0.000 0.000
```

Summary:
E_tot (eV/atom): -5.726
V (Å³/atom): 9.27
Raw formation energy (meV per atom): -969


| no. | magnetic moment (Bohr magnetons per cell) | density of states at the Fermi level (states/eV/atom) |
| --- | --- | --- |
| 1 | 0.0 | 1.005 |
| 2 | 0.0 | 0.307 |